1.
DFT (SCAN) results for a PBEsol-optimized structure of Sc2AlBr.

a b c (Å): 3.267 3.370 7.893
angles (deg): 90.00 90.00 90.00
Space group Pmmm (No. 47)
Asymmetric unit:
Sc  0.000  0.000  0.216 x2
Al  0.500  0.500  0.000 x1
Br  0.500  0.000  0.500 x1


2.
DFT (SCAN) results for a PBEsol-optimized structure of Sc2AlBr.

a b c (Å): 3.4382 3.4382 24.2843
angles (deg): 90.00 90.00 120.00
Space group R-3m (No. 166, hexagonal axes)
Asymmetric unit:
Sc  0.0000  0.0000  0.2483 x6
Al  0.0000  0.0000  0.5000 x3
Br  0.0000  0.0000  0.0000 x3


Quick one: least stable of them? 2


1.
DFT (SCAN) results for a PBEsol-optimized structure of Al2SeBr.

a b c (Å): 3.676 6.091 7.917
angles (deg): 90.00 90.00 90.00
Space group Cmmm (No. 65)
Asymmetric unit:
Al  0.000  0.000  0.228 x4
Se  0.000  0.500  0.000 x2
Br  0.000  0.500  0.500 x2


2.
DFT (SCAN) results for a PBEsol-optimized structure of Al2SeBr.

a b c (Å): 3.438 5.907 8.797
angles (deg): 90.00 90.00 90.00
Space group Imm2 (No. 44)
Asymmetric unit:
Al  0.000  0.000  0.000 x2
Al  0.000  0.500  0.249 x2
Se  0.000  0.500  0.696 x2
Br  0.000  0.000  0.520 x2


Quick one: least stable of them? 1


1.
DFT (SCAN) results for a PBEsol-optimized structure of SrAlBr2.

a b c (Å): 5.241 5.241 19.135
angles (deg): 90.00 90.00 90.00
Space group I-42d (No. 122)
Asymmetric unit:
Sr  0.000  0.000  0.000 x4
Al  0.000  0.000  0.500 x4
Br  0.247  0.250  0.625 x8


2.
DFT (SCAN) results for a PBEsol-optimized structure of SrAlBr2.

a b c (Å): 3.645 3.681 9.220
angles (deg): 90.00 90.38 90.00
Space group P2/m (No. 10)
Asymmetric unit:
Sr  0.000  0.000  0.000 x1
Al  0.500  0.000  0.500 x1
Br  0.497  0.500  0.811 x2


Quick one: least stable of them? 1


1.
DFT (SCAN) results for a PBEsol-optimized structure of SrAl2Br.

a b c (Å): 3.718 6.571 4.491
angles (deg): 90.00 90.14 90.00
Space group P2/m (No. 10)
Asymmetric unit:
Sr  0.000  0.000  0.000 x1
Al  0.258  0.500  0.764 x2
Br  0.500  0.000  0.500 x1


2.
DFT (SCAN) results for a PBEsol-optimized structure of SrAl2Br.

a b c (Å): 4.115 4.115 26.338
angles (deg): 90.00 90.00 90.00
Space group I-42d (No. 122)
Asymmetric unit:
Sr  0.000  0.000  0.000 x4
Al  0.234  0.250  0.125 x8
Br  0.000  0.000  0.500 x4


Quick one: least stable of them? 2


1.
DFT (SCAN) results for a PBEsol-optimized structure of TaAl2Br.

a b c (Å): 7.453 7.453 5.510
angles (deg): 90.00 90.00 90.00
Space group I-42d (No. 122)
Asymmetric unit:
Ta  0.000  0.000  0.000 x4
Al  0.245  0.750  0.125 x8
Br  0.000  0.000  0.500 x4


2.
DFT (SCAN) results for a PBEsol-optimized structure of TaAl2Br.

a b c (Å): 4.975 4.975 2.959
angles (deg): 90.00 90.00 90.00
Space group P4/mmm (No. 123)
Asymmetric unit:
Ta  0.000  0.000  0.000 x1
Al  0.000  0.500  0.500 x2
Br  0.500  0.500  0.000 x1


Quick one: least stable of them? 1


1.
DFT (SCAN) results for a PBEsol-optimized structure of TaAl2Br.

a b c (Å): 3.981 3.981 8.815
angles (deg): 90.00 90.00 90.00
Space group I4/mmm (No. 139)
Asymmetric unit:
Ta  0.000  0.000  0.000 x2
Al  0.000  0.500  0.250 x4
Br  0.000  0.000  0.500 x2


2.
DFT (SCAN) results for a PBEsol-optimized structure of TaAl2Br.

a b c (Å): 2.959 5.063 9.944
angles (deg): 90.00 90.00 90.00
Space group Imm2 (No. 44)
Asymmetric unit:
Ta  0.000  0.000  0.000 x2
Al  0.000  0.000  0.503 x2
Al  0.000  0.500  0.261 x2
Br  0.000  0.500  0.715 x2


3.
DFT (SCAN) results for a PBEsol-optimized structure of TaAl2Br.

a b c (Å): 3.025 3.049 8.133
angles (deg): 90.00 90.00 90.00
Space group Pmmm (No. 47)
Asymmetric unit:
Ta  0.000  0.000  0.000 x1
Al  0.500  0.500  0.223 x2
Br  0.000  0.500  0.500 x1


4.
DFT (SCAN) results for a PBEsol-optimized structure of TaAl2Br.

a b c (Å): 10.277 2.972 4.697
angles (deg): 90.00 96.94 90.00
Space group C2/m (No. 12)
Asymmetric unit:
Ta  0.000  0.000  0.000 x2
Al  0.233  0.500  0.235 x4
Br  0.000  0.500  0.500 x2


Quick one: least stable of them? 1


1.
DFT (SCAN) results for a PBEsol-optimized structure of TaAlBr2.

a b c (Å): 4.958 4.958 3.086
angles (deg): 90.00 90.00 90.00
Space group P4/mmm (No. 123)
Asymmetric unit:
Ta  0.000  0.000  0.000 x1
Al  0.500  0.500  0.000 x1
Br  0.000  0.500  0.500 x2


2.
DFT (SCAN) results for a PBEsol-optimized structure of TaAlBr2.

a b c (Å): 3.1886 3.1886 28.4443
angles (deg): 90.00 90.00 120.00
Space group R-3m (No. 166, hexagonal axes)
Asymmetric unit:
Ta  0.0000  0.0000  0.0000 x3
Al  0.0000  0.0000  0.5000 x3
Br  0.0000  0.0000  0.2656 x6


3.
DFT (SCAN) results for a PBEsol-optimized structure of TaAlBr2.

a b c (Å): 3.158 4.598 13.663
angles (deg): 90.00 90.00 90.00
Space group Immm (No. 71)
Asymmetric unit:
Ta  0.000  0.000  0.000 x2
Al  0.000  0.000  0.500 x2
Br  0.000  0.500  0.344 x4


Quick one: least stable of them? 1


1.
DFT (SCAN) results for a PBEsol-optimized structure of AlTeBr2.

a b c (Å): 6.686 7.173 9.144
angles (deg): 90.00 90.00 90.00
Space group Fmmm (No. 69)
Asymmetric unit:
Al  0.000  0.000  0.000 x4
Te  0.000  0.000  0.500 x4
Br  0.000  0.250  0.250 x8


2.
DFT (SCAN) results for a PBEsol-optimized structure of AlTeBr2.

a b c (Å): 3.5063 3.5063 28.6659
angles (deg): 90.00 90.00 120.00
Space group R-3m (No. 166, hexagonal axes)
Asymmetric unit:
Al  0.0000  0.0000  0.0000 x3
Te  0.0000  0.0000  0.5000 x3
Br  0.0000  0.0000  0.2766 x6


Quick one: least stable of them? 1


1.
DFT (SCAN) results for a PBEsol-optimized structure of TiAl2Br8.

a b c (Å): 6.403 13.513 10.469
angles (deg): 90.00 90.00 90.00
Space group Pnnm (No. 58)
Asymmetric unit:
Ti  0.000  0.000  0.000 x2
Al  0.110  0.322  0.500 x4
Br  0.196  0.160  0.500 x4
Br  0.240  0.167  0.000 x4
Br  0.246  0.910  0.174 x8


2.
DFT (SCAN) results for a PBEsol-optimized structure of TiAl2Br8.

a b c (Å): 18.229 8.175 12.349
angles (deg): 90.00 130.51 90.00
Space group C2/c (No. 15)
Asymmetric unit:
Ti  0.000  0.002  0.250 x4
Al  0.085  0.246  0.030 x8
Br  0.072  0.227  0.690 x8
Br  0.086  0.239  0.222 x8
Br  0.155  0.008  0.025 x8
Br  0.161  0.478  0.051 x8


Quick one: least stable of them? 1


1.
DFT (SCAN) results for a PBEsol-optimized structure of AlWBr.

a b c (Å): 6.241 6.241 6.241
angles (deg): 90.00 90.00 90.00
Space group F-43m (No. 216)
Asymmetric unit:
Al  0.000  0.000  0.000 x4
W  0.250  0.250  0.250 x4
Br  0.250  0.250  0.750 x4


2.
DFT (SCAN) results for a PBEsol-optimized structure of AlWBr.

a b c (Å): 2.973 2.973 12.196
angles (deg): 90.00 90.00 90.00
Space group I4mm (No. 107)
Asymmetric unit:
Al  0.000  0.000  0.000 x2
W  0.000  0.000  0.359 x2
Br  0.000  0.000  0.717 x2


Quick one: least stable of them? 1


1.
DFT (SCAN) results for a PBEsol-optimized structure of Al2WBr.

a b c (Å): 9.822 2.900 4.785
angles (deg): 90.00 97.04 90.00
Space group C2/m (No. 12)
Asymmetric unit:
Al  0.231  0.000  0.232 x4
W  0.000  0.500  0.000 x2
Br  0.000  0.000  0.500 x2


2.
DFT (SCAN) results for a PBEsol-optimized structure of Al2WBr.

a b c (Å): 4.132 4.132 7.866
angles (deg): 90.00 90.00 90.00
Space group I-4m2 (No. 119)
Asymmetric unit:
Al  0.000  0.000  0.000 x2
Al  0.000  0.500  0.250 x2
W  0.000  0.500  0.750 x2
Br  0.000  0.000  0.500 x2


3.
DFT (SCAN) results for a PBEsol-optimized structure of Al2WBr.

a b c (Å): 3.220 3.220 6.943
angles (deg): 90.00 90.00 90.00
Space group P4/mmm (No. 123)
Asymmetric unit:
Al  0.000  0.000  0.197 x2
W  0.500  0.500  0.000 x1
Br  0.500  0.500  0.500 x1


Quick one: least stable of them? 2


1.
DFT (SCAN) results for a PBEsol-optimized structure of AlWBr2.

a b c (Å): 8.731 8.731 5.194
angles (deg): 90.00 90.00 90.00
Space group I-42d (No. 122)
Asymmetric unit:
Al  0.000  0.000  0.000 x4
W  0.000  0.000  0.500 x4
Br  0.118  0.250  0.625 x8


2.
DFT (SCAN) results for a PBEsol-optimized structure of AlWBr2.

a b c (Å): 4.217 4.217 8.349
angles (deg): 90.00 90.00 90.00
Space group I-4m2 (No. 119)
Asymmetric unit:
Al  0.000  0.000  0.000 x2
W  0.000  0.500  0.750 x2
Br  0.000  0.000  0.500 x2
Br  0.000  0.500  0.250 x2


Quick one: least stable of them? 2